[1]
HfOsBr2, optimized geometry, DFT PBE; mass density = 9.00 g/cm³; polymorph energy (0 for the lowest one) = 0.710 eV/atom; DOS(E_F) = 8.7 states/eV per cell; formation energy (no corrections) = 108.0 kJ per mole of atoms
1.0
-2.998 2.998 5.424
2.998 -2.998 5.424
2.998 2.998 -5.424
Hf Os Br
2 2 4
Direct
0.000 0.000 0.000
0.750 0.250 0.500
0.250 0.750 0.500
0.500 0.500 0.000
0.149 0.625 0.024
0.375 0.399 0.524
0.601 0.125 0.976
0.875 0.851 0.476



[2]
Nb2NiMoAu, optimized geometry, DFT PBE; mass density = 9.49 g/cm³; ΔE_f = 982 meV per atom; DOS(E_F) = 5.7 states/eV per cell
1.0
4.528 0.000 0.000
0.000 4.528 0.000
0.000 0.000 4.589
Nb Ni Mo Au
2 1 1 1
Direct
0.000 0.500 0.000
0.500 0.000 0.000
0.000 0.000 0.000
0.500 0.500 0.500
0.000 0.000 0.500



[3]
PmNiSbAu, optimized geometry, DFT PBE; mass density = 10.40 g/cm³; DOS(E_F) = 2.3 states/eV per cell; formation energy (no corrections) = -40.9 kJ per mole of atoms
1.0
0.000 3.468 3.468
3.468 0.000 3.468
3.468 3.468 0.000
Pm Ni Sb Au
1 1 1 1
Direct
0.000 0.000 0.000
0.250 0.250 0.250
0.500 0.500 0.500
0.750 0.750 0.750



[4]
GaSn4Pb, optimized geometry, DFT PBE; mass density = 7.71 g/cm³; polymorph energy (0 for the lowest one) = 0.000 eV/atom; ΔE_f = 38 meV per atom; DOS(E_F) = 2.0 states/eV per cell
1.0
3.451 0.000 0.000
0.000 3.451 0.000
0.000 0.000 13.587
Ga Sn Pb
1 4 1
Direct
0.000 0.000 0.000
0.000 0.000 0.318
0.000 0.000 0.682
0.500 0.500 0.146
0.500 0.500 0.854
0.500 0.500 0.500



[5]
NaNbBi2W, optimized geometry, DFT PBE; mass density = 9.20 g/cm³; ΔE_f = 2203 meV per atom; DOS(E_F) = 8.0 states/eV per cell
1.0
5.136 0.000 0.000
0.000 5.136 0.000
0.000 0.000 4.913
Na Nb Bi W
1 1 2 1
Direct
0.000 0.000 0.000
0.000 0.000 0.500
0.000 0.500 0.000
0.500 0.000 0.000
0.500 0.500 0.500



[6]
NaPaGeO6, optimized geometry, DFT PBE; mass density = 5.93 g/cm³; DOS(E_F) = 3.2 states/eV per cell; formation energy (no corrections) = -190.2 kJ per mole of atoms
1.0
5.393 0.000 0.000
-2.697 4.671 0.000
0.000 0.000 4.697
Na Pa Ge O
1 1 1 6
Direct
0.000 0.000 0.000
0.667 0.333 0.500
0.333 0.667 0.000
0.024 0.396 0.230
0.024 0.628 0.770
0.372 0.396 0.770
0.372 0.976 0.230
0.604 0.628 0.230
0.604 0.976 0.770



[7]
LiNiOs, optimized geometry, DFT PBE; mass density = 11.66 g/cm³; polymorph energy (0 for the lowest one) = 0.031 eV/atom; ΔE_f = 214 meV per atom; DOS(E_F) = 7.0 states/eV per cell
1.0
-2.125 2.481 3.454
2.125 -2.481 3.454
2.125 2.481 -3.454
Li Ni Os
2 2 2
Direct
0.448 0.198 0.250
0.552 0.802 0.750
0.000 0.500 0.500
0.500 0.500 0.000
0.090 0.840 0.250
0.910 0.160 0.750



[8]
Ni3Pb2SeS, optimized geometry, DFT PBE; mass density = 8.80 g/cm³; DOS(E_F) = 4.3 states/eV per cell; formation energy (no corrections) = -27.3 kJ per mole of atoms
1.0
2.850 1.646 4.702
-2.850 1.646 4.702
0.000 -3.291 4.702
Ni Pb Se S
3 2 1 1
Direct
0.170 0.170 0.660
0.170 0.660 0.170
0.660 0.170 0.170
0.164 0.164 0.164
0.660 0.660 0.660
0.887 0.887 0.887
0.436 0.436 0.436



[9]
Mg8Ga2Hg3, optimized geometry, DFT PBE; mass density = 5.23 g/cm³; ΔE_f = -133 meV per atom; DOS(E_F) = 5.2 states/eV per cell
1.0
4.651 -6.901 0.000
4.651 6.901 0.000
0.000 0.000 4.630
Mg Ga Hg
8 2 3
Direct
0.113 0.383 0.500
0.129 0.871 0.000
0.359 0.641 0.000
0.383 0.113 0.500
0.617 0.887 0.500
0.641 0.359 0.000
0.871 0.129 0.000
0.887 0.617 0.500
0.245 0.755 0.500
0.755 0.245 0.500
0.245 0.245 0.000
0.500 0.500 0.500
0.755 0.755 0.000



[10]
Li2TeCl, optimized geometry, DFT PBE; mass density = 3.47 g/cm³; polymorph energy (0 for the lowest one) = 0.242 eV/atom; DOS(E_F) = 1.4 states/eV per cell; formation energy (no corrections) = -93.5 kJ per mole of atoms
1.0
3.613 -3.623 0.000
3.613 3.623 0.000
0.000 0.000 3.231
Li Te Cl
2 1 1
Direct
0.000 0.500 0.000
0.500 0.000 0.000
0.000 0.000 0.500
0.500 0.500 0.500



no.,final energy (eV/atom)
1,-5.012
2,-7.024
3,-4.907
4,-3.754
5,-4.218
6,-6.991
7,-6.094
8,-4.908
9,-1.649
10,-3.173